## A
A geometry-optimized NaYOs2 structure, computed with PBE-GGA.

Cell and atoms, written as CIF:
```
data_NaYOs2
_chemical_formula_sum 'Na4 Y4 Os8'
_cell_length_a 7.8292
_cell_length_b 7.8292
_cell_length_c 5.1484
_cell_angle_alpha 90.00
_cell_angle_beta 90.00
_cell_angle_gamma 90.00
_symmetry_space_group_name_H-M 'I -4 2 d'
_symmetry_Int_Tables_number 122
_symmetry_space_group_name_Hall 'I -4 2bw'
loop_
_atom_site_label
_atom_site_fract_x
_atom_site_fract_y
_atom_site_fract_z
Na1 0.0000 0.0000 0.0000
Y1 0.0000 0.0000 0.5000
Os1 0.2393 0.2500 0.1250
```

## Properties
As for the total magnetization: 0.74 μB/f.u.



## B
A geometry-optimized NaYOs2 structure, computed with PBE-GGA.

Cell and atoms, written as CIF:
```
data_NaYOs2
_chemical_formula_sum 'Na4 Y4 Os8'
_cell_length_a 6.6722
_cell_length_b 6.6722
_cell_length_c 6.6722
_cell_angle_alpha 90.00
_cell_angle_beta 90.00
_cell_angle_gamma 90.00
_symmetry_space_group_name_H-M 'F m -3 m'
_symmetry_Int_Tables_number 225
_symmetry_space_group_name_Hall '-F 4 2 3'
loop_
_atom_site_label
_atom_site_fract_x
_atom_site_fract_y
_atom_site_fract_z
Na1 0.0000 0.0000 0.0000
Y1 0.0000 0.0000 0.5000
Os1 0.2500 0.2500 0.2500
```

## Properties
As for the total magnetization: 0.00 μB/f.u.



Pick B: it beats the second-best structure by 61 meV/atom.



## A
A geometry-optimized NaZnOs structure, computed with PBE-GGA.

Cell and atoms, written as CIF:
```
data_NaZnOs
_chemical_formula_sum 'Na2 Zn2 Os2'
_cell_length_a 4.1555
_cell_length_b 4.0570
_cell_length_c 7.5602
_cell_angle_alpha 90.00
_cell_angle_beta 93.03
_cell_angle_gamma 90.00
_symmetry_space_group_name_H-M 'P 1 21/m 1'
_symmetry_Int_Tables_number 11
loop_
_symmetry_equiv_pos_as_xyz
'x,y,z'
'-x,-y,-z'
'-x,y+1/2,-z'
'x,-y+1/2,z'
loop_
_atom_site_label
_atom_site_fract_x
_atom_site_fract_y
_atom_site_fract_z
Na1 0.2254 0.2500 0.3464
Zn1 0.3303 0.2500 0.7947
Os1 0.1550 0.7500 0.0037
```

## Properties
As for the total magnetization: 0.00 μB/f.u.



## B
A geometry-optimized NaZnOs structure, computed with PBE-GGA.

Cell and atoms, written as CIF:
```
data_NaZnOs
_chemical_formula_sum 'Na4 Zn4 Os4'
_cell_length_a 11.4517
_cell_length_b 4.2757
_cell_length_c 5.2889
_cell_angle_alpha 90.00
_cell_angle_beta 117.01
_cell_angle_gamma 90.00
_symmetry_space_group_name_H-M 'C 1 2/m 1'
_symmetry_Int_Tables_number 12
loop_
_symmetry_equiv_pos_as_xyz
'x,y,z'
'-x,-y,-z'
'-x,y,-z'
'x,-y,z'
'x+1/2,y+1/2,z'
'-x+1/2,-y+1/2,-z'
'-x+1/2,y+1/2,-z'
'x+1/2,-y+1/2,z'
loop_
_atom_site_label
_atom_site_fract_x
_atom_site_fract_y
_atom_site_fract_z
Na1 0.0000 0.0000 0.0000
Na2 0.0000 0.0000 0.5000
Zn1 0.2089 0.5000 0.0576
Os1 0.2268 0.5000 0.5729
```

## Properties
As for the total magnetization: 0.00 μB/f.u.



Pick B: it beats the second-best structure by 54 meV/atom.



## A
A geometry-optimized NaZnOs3 structure, computed with PBE-GGA.

Cell and atoms, written as CIF:
```
data_NaZnOs3
_chemical_formula_sum 'Na1 Zn1 Os3'
_cell_length_a 4.5807
_cell_length_b 4.5807
_cell_length_c 4.5807
_cell_angle_alpha 90.00
_cell_angle_beta 90.00
_cell_angle_gamma 90.00
_symmetry_space_group_name_H-M 'P m -3 m'
_symmetry_Int_Tables_number 221
_symmetry_space_group_name_Hall '-P 4 2 3'
loop_
_atom_site_label
_atom_site_fract_x
_atom_site_fract_y
_atom_site_fract_z
Na1 0.0000 0.0000 0.0000
Zn1 0.5000 0.5000 0.5000
Os1 0.0000 0.5000 0.5000
```

## Properties
As for the total magnetization: 2.40 μB/f.u.



## B
A geometry-optimized NaZnOs3 structure, computed with PBE-GGA.

Cell and atoms, written as CIF:
```
data_NaZnOs3
_chemical_formula_sum 'Na1 Zn1 Os3'
_cell_length_a 4.4786
_cell_length_b 4.4786
_cell_length_c 4.4786
_cell_angle_alpha 90.00
_cell_angle_beta 90.00
_cell_angle_gamma 90.00
_symmetry_space_group_name_H-M 'P m -3 m'
_symmetry_Int_Tables_number 221
_symmetry_space_group_name_Hall '-P 4 2 3'
loop_
_atom_site_label
_atom_site_fract_x
_atom_site_fract_y
_atom_site_fract_z
Na1 0.0000 0.0000 0.0000
Zn1 0.5000 0.5000 0.5000
Os1 0.0000 0.0000 0.5000
```

## Properties
As for the total magnetization: 3.29 μB/f.u.



Pick A: it beats the second-best structure by 902 meV/atom.



## A
A geometry-optimized Na3ZrOs structure, computed with PBE-GGA.

Cell and atoms, written as CIF:
```
data_Na3ZrOs
_chemical_formula_sum 'Na3 Zr1 Os1'
_cell_length_a 5.2335
_cell_length_b 5.2335
_cell_length_c 5.2335
_cell_angle_alpha 90.00
_cell_angle_beta 90.00
_cell_angle_gamma 90.00
_symmetry_space_group_name_H-M 'P m -3 m'
_symmetry_Int_Tables_number 221
_symmetry_space_group_name_Hall '-P 4 2 3'
loop_
_atom_site_label
_atom_site_fract_x
_atom_site_fract_y
_atom_site_fract_z
Na1 0.0000 0.0000 0.5000
Zr1 0.5000 0.5000 0.5000
Os1 0.0000 0.0000 0.0000
```

## Properties
As for the total magnetization: 0.00 μB/f.u.



## B
A geometry-optimized Na3ZrOs structure, computed with PBE-GGA.

Cell and atoms, written as CIF:
```
data_Na3ZrOs
_chemical_formula_sum 'Na3 Zr1 Os1'
_cell_length_a 5.5134
_cell_length_b 5.5134
_cell_length_c 5.5134
_cell_angle_alpha 90.00
_cell_angle_beta 90.00
_cell_angle_gamma 90.00
_symmetry_space_group_name_H-M 'P m -3 m'
_symmetry_Int_Tables_number 221
_symmetry_space_group_name_Hall '-P 4 2 3'
loop_
_atom_site_label
_atom_site_fract_x
_atom_site_fract_y
_atom_site_fract_z
Na1 0.0000 0.0000 0.5000
Zr1 0.0000 0.0000 0.0000
Os1 0.5000 0.5000 0.5000
```

## Properties
As for the total magnetization: 6.07 μB/f.u.



Pick A: it beats the second-best structure by 611 meV/atom.



## A
A geometry-optimized Na2ZrOs structure, computed with PBE-GGA.

Cell and atoms, written as CIF:
```
data_Na2ZrOs
_chemical_formula_sum 'Na8 Zr4 Os4'
_cell_length_a 6.7335
_cell_length_b 6.7335
_cell_length_c 6.7335
_cell_angle_alpha 90.00
_cell_angle_beta 90.00
_cell_angle_gamma 90.00
_symmetry_space_group_name_H-M 'F m -3 m'
_symmetry_Int_Tables_number 225
_symmetry_space_group_name_Hall '-F 4 2 3'
loop_
_atom_site_label
_atom_site_fract_x
_atom_site_fract_y
_atom_site_fract_z
Na1 0.2500 0.2500 0.2500
Zr1 0.0000 0.0000 0.0000
Os1 0.0000 0.0000 0.5000
```

## Properties
As for the total magnetization: 0.00 μB/f.u.



## B
A geometry-optimized Na2ZrOs structure, computed with PBE-GGA.

Cell and atoms, written as CIF:
```
data_Na2ZrOs
_chemical_formula_sum 'Na8 Zr4 Os4'
_cell_length_a 3.8209
_cell_length_b 3.8209
_cell_length_c 23.3753
_cell_angle_alpha 90.00
_cell_angle_beta 90.00
_cell_angle_gamma 90.00
_symmetry_space_group_name_H-M 'I -4 2 d'
_symmetry_Int_Tables_number 122
_symmetry_space_group_name_Hall 'I -4 2bw'
loop_
_atom_site_label
_atom_site_fract_x
_atom_site_fract_y
_atom_site_fract_z
Na1 0.2311 0.2500 0.1250
Zr1 0.0000 0.0000 0.5000
Os1 0.0000 0.0000 0.0000
```

## Properties
As for the total magnetization: 0.00 μB/f.u.



Pick B: it beats the second-best structure by 635 meV/atom.



## A
A geometry-optimized NaZr3Os structure, computed with PBE-GGA.

Cell and atoms, written as CIF:
```
data_NaZr3Os
_chemical_formula_sum 'Na1 Zr3 Os1'
_cell_length_a 5.1487
_cell_length_b 5.1487
_cell_length_c 5.1487
_cell_angle_alpha 90.00
_cell_angle_beta 90.00
_cell_angle_gamma 90.00
_symmetry_space_group_name_H-M 'P m -3 m'
_symmetry_Int_Tables_number 221
_symmetry_space_group_name_Hall '-P 4 2 3'
loop_
_atom_site_label
_atom_site_fract_x
_atom_site_fract_y
_atom_site_fract_z
Na1 0.0000 0.0000 0.0000
Zr1 0.0000 0.5000 0.5000
Os1 0.5000 0.5000 0.5000
```

## Properties
As for the total magnetization: 1.25 μB/f.u.



## B
A geometry-optimized NaZr3Os structure, computed with PBE-GGA.

Cell and atoms, written as CIF:
```
data_NaZr3Os
_chemical_formula_sum 'Na1 Zr3 Os1'
_cell_length_a 4.7943
_cell_length_b 4.7943
_cell_length_c 4.7943
_cell_angle_alpha 90.00
_cell_angle_beta 90.00
_cell_angle_gamma 90.00
_symmetry_space_group_name_H-M 'P m -3 m'
_symmetry_Int_Tables_number 221
_symmetry_space_group_name_Hall '-P 4 2 3'
loop_
_atom_site_label
_atom_site_fract_x
_atom_site_fract_y
_atom_site_fract_z
Na1 0.0000 0.0000 0.0000
Zr1 0.0000 0.0000 0.5000
Os1 0.5000 0.5000 0.5000
```

## Properties
As for the total magnetization: 0.00 μB/f.u.



Pick A: it beats the second-best structure by 1461 meV/atom.